1.
UAl8C6 PBE optimized geometry; VASP energy = -6.168 eV/atom; energy relative to the elements = 6.24 kcal/mol of atoms; DOS(E_F) = 10.9 states/eV per cell
1.0
6.0837 0.0000 0.0000
-3.0418 5.2686 0.0000
0.0000 0.0000 11.8704
U Al C
2 16 12
direct
0.0000 0.0000 0.0000
0.0000 0.0000 0.5000
0.0000 0.2982 0.2648
0.0000 0.4561 0.5948
0.0000 0.5439 0.0948
0.0000 0.7018 0.7648
0.2982 0.0000 0.2648
0.2982 0.2982 0.7648
0.3333 0.6667 0.3994
0.3333 0.6667 0.8994
0.4561 0.0000 0.5948
0.4561 0.4561 0.0948
0.5439 0.0000 0.0948
0.5439 0.5439 0.5948
0.6667 0.3333 0.3994
0.6667 0.3333 0.8994
0.7018 0.0000 0.7648
0.7018 0.7018 0.2648
0.0000 0.0000 0.2043
0.0000 0.0000 0.7043
0.0000 0.3629 0.4328
0.0000 0.6371 0.9328
0.3333 0.6667 0.2130
0.3333 0.6667 0.7130
0.3629 0.0000 0.4328
0.3629 0.3629 0.9328
0.6371 0.0000 0.9328
0.6371 0.6371 0.4328
0.6667 0.3333 0.2130
0.6667 0.3333 0.7130

---

2.
Ta2CdRuAu PBE optimized geometry; VASP energy = -5.716 eV/atom; energy relative to the elements = 39.63 kcal/mol of atoms; DOS(E_F) = 6.1 states/eV per cell
1.0
4.9002 0.0000 0.0000
0.0000 4.9002 0.0000
0.0000 0.0000 4.9328
Ta Cd Ru Au
2 1 1 1
direct
0.0000 0.5000 0.0000
0.5000 0.0000 0.0000
0.0000 0.0000 0.5000
0.5000 0.5000 0.5000
0.5000 0.5000 0.0000

---

3.
Tc2IrOs PBE optimized geometry; VASP energy = -10.227 eV/atom; energy relative to the elements = -0.49 kcal/mol of atoms; distance to the lowest polymorph of the same formula = 168 meV per atom; DOS(E_F) = 10.9 states/eV per cell
1.0
2.7351 0.0000 0.0000
-1.3675 2.3687 0.0000
0.0000 0.0000 26.8159
Tc Ir Os
6 3 3
direct
0.0000 0.0000 0.2501
0.0000 0.0000 0.7499
0.3333 0.6667 0.4166
0.3333 0.6667 0.9168
0.6667 0.3333 0.0832
0.6667 0.3333 0.5834
0.0000 0.0000 0.0000
0.3333 0.6667 0.6667
0.6667 0.3333 0.3333
0.0000 0.0000 0.5000
0.3333 0.6667 0.1667
0.6667 0.3333 0.8333

---

4.
RbSr2MgAu PBE optimized geometry; VASP energy = -2.057 eV/atom; energy relative to the elements = -4.98 kcal/mol of atoms; DOS(E_F) = 4.1 states/eV per cell
1.0
6.2700 0.0000 0.0000
0.0000 6.2700 0.0000
0.0000 0.0000 5.4382
Rb Sr Mg Au
1 2 1 1
direct
0.0000 0.0000 0.0000
0.0000 0.5000 0.5000
0.5000 0.0000 0.5000
0.5000 0.5000 0.0000
0.5000 0.5000 0.5000